# YGa4NiIr2 (PBE, relaxed)
data_YGa4NiIr2
_cell_length_a 8.807
_cell_length_b 8.807
_cell_length_c 8.807
_cell_angle_alpha 27.83
_cell_angle_beta 27.83
_cell_angle_gamma 27.83
_symmetry_space_group_name_H-M 'P 1'
_symmetry_Int_Tables_number 1
loop_
_symmetry_equiv_pos_as_xyz
'x,y,z'
loop_
_atom_site_label
_atom_site_type_symbol
_atom_site_fract_x
_atom_site_fract_y
_atom_site_fract_z
Y1 Y 0.000 0.000 0.000
Ga1 Ga 0.133 0.133 0.133
Ga2 Ga 0.400 0.400 0.400
Ga3 Ga 0.600 0.600 0.600
Ga4 Ga 0.867 0.867 0.867
Ni1 Ni 0.500 0.500 0.500
Ir1 Ir 0.235 0.235 0.235
Ir2 Ir 0.765 0.765 0.765
# - energy of formation (eV/atom) = -0.531
# - E (eV/atom) = -5.790
# - SG = R-3m